An optimized crystal structure of Th2ZnCo. Source: Alexandria, functional GGA-PBE.

Unit cell a=3.844 b=3.844 c=9.768 alpha=78.65 beta=78.65 gamma=60.00
Atoms (fractional coordinates):
1 Th 0.113 0.113 0.661
2 Th 0.887 0.887 0.339
3 Zn 0.000 0.000 0.000
4 Co 0.500 0.500 0.500

**ΔE to the lowest computed polymorph**: 0.417 eV/atom
**Volume**: 30.4 A^3/atom
**Energy of formation from the pure elements**: 184 meV/atom


An optimized crystal structure of ThZn3Co. Source: Alexandria, functional GGA-PBE.

Unit cell a=4.471 b=4.511 c=5.276 alpha=115.31 beta=90.00 gamma=90.00
Atoms (fractional coordinates):
1 Zn 0.000 0.542 0.084
2 Zn 0.500 0.731 0.463
3 Zn 0.000 0.270 0.540
4 Th 0.500 0.035 0.070
5 Co 0.500 0.382 0.764

**ΔE to the lowest computed polymorph**: 0.236 eV/atom
**Volume**: 19.2 A^3/atom
**Energy of formation from the pure elements**: -37 meV/atom


An optimized crystal structure of ThZn3Co. Source: Alexandria, functional GGA-PBE.

Unit cell a=4.563 b=4.563 c=4.563 alpha=90.00 beta=90.00 gamma=90.00
Atoms (fractional coordinates):
1 Th 0.500 0.500 0.500
2 Co 0.000 0.000 0.000
3 Zn 0.000 0.500 0.000
4 Zn 0.500 0.000 0.000
5 Zn 0.000 0.000 0.500

**ΔE to the lowest computed polymorph**: 0.223 eV/atom
**Volume**: 19.0 A^3/atom
**Energy of formation from the pure elements**: -50 meV/atom


An optimized crystal structure of ThZn2Co9. Source: Alexandria, functional GGA-PBE.

Unit cell a=4.745 b=8.117 c=8.117 alpha=90.00 beta=90.00 gamma=90.00
Atoms (fractional coordinates):
1 Co 0.763 0.822 0.322
2 Co 0.763 0.678 0.822
3 Co 0.500 0.713 0.569
4 Co 0.237 0.178 0.678
5 Co 0.500 0.569 0.287
6 Co 0.500 0.431 0.713
7 Co 0.237 0.678 0.822
8 Co 0.763 0.178 0.678
9 Co 0.237 0.822 0.322
10 Co 0.500 0.931 0.787
11 Co 0.763 0.322 0.178
12 Co 0.500 0.069 0.213
13 Co 0.500 0.787 0.069
14 Co 0.237 0.322 0.178
15 Co 0.500 0.213 0.931
16 Co 0.500 0.287 0.431
17 Co 0.500 0.500 0.000
18 Co 0.500 0.000 0.500
19 Th 0.000 0.000 0.000
20 Th 0.000 0.500 0.500
21 Zn 0.000 0.617 0.117
22 Zn 0.000 0.883 0.617
23 Zn 0.000 0.117 0.383
24 Zn 0.000 0.383 0.883

**Volume**: 13.0 A^3/atom
**Energy of formation from the pure elements**: -108 meV/atom


An optimized crystal structure of ThZr2Co2. Source: Alexandria, functional GGA-PBE.

Unit cell a=3.745 b=5.371 c=5.785 alpha=109.81 beta=108.89 gamma=90.00
Atoms (fractional coordinates):
1 Zr 0.343 0.407 0.685
2 Zr 0.657 0.593 0.315
3 Th 0.000 0.000 0.000
4 Co 0.705 0.127 0.410
5 Co 0.295 0.873 0.590

**Volume**: 20.6 A^3/atom
**Energy of formation from the pure elements**: -174 meV/atom


An optimized crystal structure of ThZr2Co. Source: Alexandria, functional GGA-PBE.

Unit cell a=3.526 b=3.526 c=8.868 alpha=78.53 beta=78.53 gamma=60.00
Atoms (fractional coordinates):
1 Th 0.501 0.501 0.496
2 Zr 0.275 0.275 0.176
3 Zr 0.058 0.058 0.826
4 Co 0.666 0.666 0.003

**ΔE to the lowest computed polymorph**: 0.217 eV/atom
**Volume**: 23.2 A^3/atom
**Energy of formation from the pure elements**: 55 meV/atom